Version i
# TlCu2S2, optimized geometry, DFT PBE-GGA
data_TlCu2S2
_cell_length_a 4.685
_cell_length_b 4.685
_cell_length_c 6.238
_cell_angle_alpha 67.95
_cell_angle_beta 67.95
_cell_angle_gamma 90.00
_space_group_name_H-M_alt 'P 1'
_space_group_IT_number 1
loop_
_space_group_symop_operation_xyz
'x,y,z'
loop_
_atom_site_label
_atom_site_type_symbol
_atom_site_fract_x
_atom_site_fract_y
_atom_site_fract_z
S1 S 0.750 0.250 0.500
S2 S 0.250 0.750 0.500
Cu1 Cu 0.277 0.277 0.445
Cu2 Cu 0.723 0.723 0.555
Tl1 Tl 0.000 0.000 0.000
# Size of the total moment ... 0.00 μB/cell
# DOS(E_F) ... 1.17 states/eV/f.u.

Version ii
# TlCu2S2, optimized geometry, DFT PBE-GGA
data_TlCu2S2
_cell_length_a 3.674
_cell_length_b 3.674
_cell_length_c 7.244
_cell_angle_alpha 90.00
_cell_angle_beta 90.00
_cell_angle_gamma 90.00
_space_group_name_H-M_alt 'P 1'
_space_group_IT_number 1
loop_
_space_group_symop_operation_xyz
'x,y,z'
loop_
_atom_site_label
_atom_site_type_symbol
_atom_site_fract_x
_atom_site_fract_y
_atom_site_fract_z
Tl1 Tl 0.000 0.000 0.000
Cu1 Cu 0.000 0.500 0.500
Cu2 Cu 0.500 0.000 0.500
S1 S 0.500 0.500 0.711
S2 S 0.500 0.500 0.289
# Size of the total moment ... 0.00 μB/cell
# DOS(E_F) ... 2.97 states/eV/f.u.

Version iii
# TlCu2S2, optimized geometry, DFT PBE-GGA
data_TlCu2S2
_cell_length_a 7.462
_cell_length_b 7.462
_cell_length_c 3.179
_cell_angle_alpha 90.00
_cell_angle_beta 90.00
_cell_angle_gamma 90.00
_space_group_name_H-M_alt 'P 1'
_space_group_IT_number 1
loop_
_space_group_symop_operation_xyz
'x,y,z'
loop_
_atom_site_label
_atom_site_type_symbol
_atom_site_fract_x
_atom_site_fract_y
_atom_site_fract_z
Tl1 Tl 0.500 0.500 0.000
Tl2 Tl 0.000 0.000 0.000
Cu1 Cu 0.116 0.384 0.000
Cu2 Cu 0.884 0.616 0.000
Cu3 Cu 0.616 0.116 0.000
Cu4 Cu 0.384 0.884 0.000
S1 S 0.847 0.347 0.500
S2 S 0.153 0.653 0.500
S3 S 0.653 0.847 0.500
S4 S 0.347 0.153 0.500
# Size of the total moment ... 0.00 μB/cell
# DOS(E_F) ... 3.36 states/eV/f.u.

Version iv
# TlCu2S2, optimized geometry, DFT PBE-GGA
data_TlCu2S2
_cell_length_a 3.782
_cell_length_b 3.782
_cell_length_c 7.378
_cell_angle_alpha 75.15
_cell_angle_beta 75.15
_cell_angle_gamma 90.00
_space_group_name_H-M_alt 'P 1'
_space_group_IT_number 1
loop_
_space_group_symop_operation_xyz
'x,y,z'
loop_
_atom_site_label
_atom_site_type_symbol
_atom_site_fract_x
_atom_site_fract_y
_atom_site_fract_z
Cu1 Cu 0.250 0.750 0.500
Cu2 Cu 0.750 0.250 0.500
S1 S 0.648 0.648 0.704
S2 S 0.352 0.352 0.296
Tl1 Tl 0.000 0.000 0.000
# Size of the total moment ... 0.00 μB/cell
# DOS(E_F) ... 3.14 states/eV/f.u.

Most stable of them? version iv.